# Dy8GePb5 PBE optimized geometry
# calculated volume = 28.87 Å³ per atom
# SG = I-4, No. 82
# energy relative to the elements = -0.579 eV/atom
data_Dy8GePb5
_cell_length_a 8.0674
_cell_length_b 8.0674
_cell_length_c 8.0674
_cell_angle_alpha 109.71
_cell_angle_beta 108.99
_cell_angle_gamma 109.71
_space_group_name_H-M_alt 'P 1'
_space_group_IT_number 1
_space_group_name_Hall 'P 1'
loop_
_atom_site_label
_atom_site_type_symbol
_atom_site_fract_x
_atom_site_fract_y
_atom_site_fract_z
Dy1 Dy 0.6110 0.8746 0.8717
Dy2 Dy 0.9972 0.1254 0.7364
Dy3 Dy 0.6194 0.3935 0.8720
Dy4 Dy 0.4785 0.6065 0.2259
Dy5 Dy 0.1280 0.7474 0.5215
Dy6 Dy 0.1283 0.7393 0.0028
Dy7 Dy 0.2636 0.2607 0.3890
Dy8 Dy 0.7741 0.2526 0.3806
Ge1 Ge 0.2500 0.5000 0.7500
Pb1 Pb 0.9935 0.3709 0.1216
Pb2 Pb 0.8784 0.8719 0.2493
Pb3 Pb 0.5000 0.0000 0.5000
Pb4 Pb 0.7507 0.6291 0.6226
Pb5 Pb 0.3774 0.1281 0.0065